Computed, not measured: a relaxed ZrIr2Ru2 crystal at the GGA-PBE level of DFT.

```
ZrIr2Ru2
1.0
7.556 0.000 0.000
0.000 7.556 0.000
0.000 0.000 2.790
Zr Ir Ru
2 4 4
Direct
0.000 0.000 0.000
0.500 0.500 0.000
0.176 0.324 0.500
0.324 0.824 0.500
0.676 0.176 0.500
0.824 0.676 0.500
0.121 0.621 0.000
0.379 0.121 0.000
0.621 0.879 0.000
0.879 0.379 0.000
```

As for the energy relative to the elements: -0.181 eV per atom. As for the symmetry: P4/mbm, No. 127.

=====

Computed, not measured: a relaxed Zr2IrRu crystal at the GGA-PBE level of DFT.

```
Zr2IrRu
1.0
4.497 0.000 0.000
0.000 1.627 5.022
0.000 -1.627 5.022
Zr Ir Ru
2 1 1
Direct
0.000 0.000 0.000
0.500 0.288 0.288
0.000 0.732 0.732
0.500 0.549 0.549
```

As for the energy relative to the elements: -0.609 eV per atom. As for the symmetry: Amm2, No. 38.

=====

Computed, not measured: a relaxed ZrIrRu4 crystal at the GGA-PBE level of DFT.

```
ZrIrRu4
1.0
0.000 3.618 3.618
3.618 0.000 3.618
3.618 3.618 0.000
Zr Ir Ru
1 1 4
Direct
0.000 0.000 0.000
0.250 0.250 0.250
0.129 0.624 0.624
0.624 0.129 0.624
0.624 0.624 0.129
0.624 0.624 0.624
```

As for the energy relative to the elements: 0.092 eV per atom. As for the symmetry: F-43m, No. 216.

=====

Computed, not measured: a relaxed ZrIrRu crystal at the GGA-PBE level of DFT.

```
ZrIrRu
1.0
4.505 0.000 0.000
-2.252 3.901 0.000
0.000 0.000 2.838
Zr Ir Ru
1 1 1
Direct
0.000 0.000 0.000
0.667 0.333 0.320
0.333 0.667 0.762
```

As for the energy relative to the elements: -0.118 eV per atom. As for the symmetry: P3m1, No. 156.

=====

Computed, not measured: a relaxed Zr2IrRu crystal at the GGA-PBE level of DFT.

```
Zr2IrRu
1.0
-1.721 2.173 4.817
1.721 -2.173 4.817
1.721 2.173 -4.817
Zr Ir Ru
2 1 1
Direct
0.000 0.000 0.000
0.740 0.240 0.500
0.240 0.740 0.500
0.504 0.504 0.000
```

As for the energy relative to the elements: -0.506 eV per atom. As for the symmetry: Imm2, No. 44.

=====

Computed, not measured: a relaxed ZrIr3Ru crystal at the GGA-PBE level of DFT.

```
ZrIr3Ru
1.0
4.674 0.000 0.000
0.000 4.674 0.000
0.000 0.000 4.674
Zr Ir Ru
1 3 1
Direct
0.000 0.000 0.000
0.000 0.500 0.500
0.500 0.000 0.500
0.500 0.500 0.000
0.500 0.500 0.500
```

As for the energy relative to the elements: 1.211 eV per atom. As for the symmetry: Pm-3m, No. 221.

=====

Computed, not measured: a relaxed Zr2IrRu crystal at the GGA-PBE level of DFT.

```
Zr2IrRu
1.0
4.229 -1.625 0.000
4.229 1.625 0.000
-1.282 0.000 5.409
Zr Ir Ru
2 1 1
Direct
0.250 0.250 0.248
0.750 0.750 0.752
0.000 0.000 0.500
0.500 0.500 0.000
```

As for the energy relative to the elements: -0.284 eV per atom. As for the symmetry: C2/m, No. 12.

=====

Computed, not measured: a relaxed Zr2IrRu crystal at the GGA-PBE level of DFT.

```
Zr2IrRu
1.0
1.562 0.902 8.881
-1.562 0.902 8.881
0.000 -1.803 8.881
Zr Ir Ru
2 1 1
Direct
0.000 0.000 0.000
0.233 0.233 0.233
0.489 0.489 0.489
0.740 0.740 0.740
```

As for the energy relative to the elements: 0.125 eV per atom. As for the symmetry: R3m, No. 160.

=====

Computed, not measured: a relaxed ZrIrRu crystal at the GGA-PBE level of DFT.

```
ZrIrRu
1.0
-1.654 1.654 4.633
1.654 -1.654 4.633
1.654 1.654 -4.633
Zr Ir Ru
1 1 1
Direct
0.000 0.000 0.000
0.660 0.660 0.000
0.342 0.342 0.000
```

As for the energy relative to the elements: -0.163 eV per atom. As for the symmetry: I4mm, No. 107.

=====

Computed, not measured: a relaxed ZrIrRu3 crystal at the GGA-PBE level of DFT.

```
ZrIrRu3
1.0
4.667 0.000 0.000
0.000 4.667 0.000
0.000 0.000 4.667
Zr Ir Ru
1 1 3
Direct
0.000 0.000 0.000
0.500 0.500 0.500
0.000 0.000 0.500
0.000 0.500 0.000
0.500 0.000 0.000
```

As for the energy relative to the elements: 2.030 eV per atom. As for the symmetry: Pm-3m, No. 221.

=====

Computed, not measured: a relaxed Zr2IrRu crystal at the GGA-PBE level of DFT.

```
Zr2IrRu
1.0
-2.158 2.158 8.710
2.158 -2.158 8.710
2.158 2.158 -8.710
Zr Ir Ru
4 2 2
Direct
0.122 0.625 0.997
0.375 0.372 0.497
0.628 0.125 0.003
0.875 0.878 0.503
0.250 0.750 0.500
0.500 0.500 0.000
0.000 0.000 0.000
0.750 0.250 0.500
```

As for the energy relative to the elements: 0.276 eV per atom. As for the symmetry: I-42d, No. 122.

=====

Computed, not measured: a relaxed Zr2IrRu crystal at the GGA-PBE level of DFT.

```
Zr2IrRu
1.0
3.328 0.000 0.000
0.000 3.328 0.000
0.000 0.000 6.436
Zr Ir Ru
2 1 1
Direct
0.000 0.000 0.249
0.000 0.000 0.751
0.500 0.500 0.500
0.500 0.500 0.000
```

As for the energy relative to the elements: -0.715 eV per atom. As for the symmetry: P4/mmm, No. 123.

=====

Computed, not measured: a relaxed Zr6IrRu crystal at the GGA-PBE level of DFT.

```
Zr6IrRu
1.0
-2.337 2.337 7.446
2.337 -2.337 7.446
2.337 2.337 -7.446
Zr Ir Ru
6 1 1
Direct
0.110 0.610 0.500
0.249 0.249 0.000
0.390 0.890 0.500
0.610 0.110 0.500
0.751 0.751 0.000
0.890 0.390 0.500
0.500 0.500 0.000
0.000 0.000 0.000
```

As for the energy relative to the elements: -0.369 eV per atom. As for the symmetry: I4/mmm, No. 139.

=====

Computed, not measured: a relaxed ZrIrRu crystal at the GGA-PBE level of DFT.

```
ZrIrRu
1.0
0.000 3.078 3.078
3.078 0.000 3.078
3.078 3.078 0.000
Zr Ir Ru
1 1 1
Direct
0.000 0.000 0.000
0.750 0.750 0.750
0.250 0.250 0.250
```

As for the energy relative to the elements: 0.246 eV per atom. As for the symmetry: F-43m, No. 216.

=====

Computed, not measured: a relaxed Zr2IrRu crystal at the GGA-PBE level of DFT.

```
Zr2IrRu
1.0
1.597 0.922 8.357
-1.597 0.922 8.357
0.000 -1.844 8.357
Zr Ir Ru
2 1 1
Direct
0.248 0.248 0.248
0.752 0.752 0.752
0.000 0.000 0.000
0.500 0.500 0.500
```

As for the energy relative to the elements: -0.277 eV per atom. As for the symmetry: R-3m, No. 166.

=====

Computed, not measured: a relaxed ZrIr2Ru2 crystal at the GGA-PBE level of DFT.

```
ZrIr2Ru2
1.0
7.551 0.000 0.000
0.000 7.551 0.000
0.000 0.000 2.806
Zr Ir Ru
2 4 4
Direct
0.000 0.000 0.000
0.500 0.500 0.000
0.123 0.377 0.000
0.377 0.877 0.000
0.623 0.123 0.000
0.877 0.623 0.000
0.174 0.674 0.500
0.326 0.174 0.500
0.674 0.826 0.500
0.826 0.326 0.500
```

As for the energy relative to the elements: -0.158 eV per atom. As for the symmetry: P4/mbm, No. 127.

=====

Computed, not measured: a relaxed ZrIrRu crystal at the GGA-PBE level of DFT.

```
ZrIrRu
1.0
-1.422 1.422 6.130
1.422 -1.422 6.130
1.422 1.422 -6.130
Zr Ir Ru
1 1 1
Direct
0.000 0.000 0.000
0.678 0.678 0.000
0.321 0.321 0.000
```

As for the energy relative to the elements: -0.217 eV per atom. As for the symmetry: I4mm, No. 107.

=====

Computed, not measured: a relaxed ZrIrRu3 crystal at the GGA-PBE level of DFT.

```
ZrIrRu3
1.0
4.664 0.000 0.000
0.000 4.664 0.000
0.000 0.000 4.664
Zr Ir Ru
1 1 3
Direct
0.000 0.000 0.000
0.500 0.500 0.500
0.000 0.500 0.500
0.500 0.000 0.500
0.500 0.500 0.000
```

As for the energy relative to the elements: 1.247 eV per atom. As for the symmetry: Pm-3m, No. 221.

=====

Computed, not measured: a relaxed Zr2IrRu crystal at the GGA-PBE level of DFT.

```
Zr2IrRu
1.0
0.000 3.267 3.267
3.267 0.000 3.267
3.267 3.267 0.000
Zr Ir Ru
2 1 1
Direct
0.000 0.000 0.000
0.250 0.250 0.250
0.750 0.750 0.750
0.500 0.500 0.500
```

As for the energy relative to the elements: -0.263 eV per atom. As for the symmetry: F-43m, No. 216.

=====

Computed, not measured: a relaxed Zr5IrRu4 crystal at the GGA-PBE level of DFT.

```
Zr5IrRu4
1.0
3.294 0.000 0.000
0.000 3.294 0.000
0.000 0.000 16.284
Zr Ir Ru
5 1 4
Direct
0.000 0.000 0.000
0.000 0.000 0.200
0.000 0.000 0.400
0.000 0.000 0.600
0.000 0.000 0.800
0.500 0.500 0.500
0.500 0.500 0.100
0.500 0.500 0.301
0.500 0.500 0.699
0.500 0.500 0.900
```

As for the energy relative to the elements: -0.672 eV per atom. As for the symmetry: P4/mmm, No. 123.

=====

Calculated volume in A^3/atom, matching the order above: 15.932 18.369 15.784 16.627 18.015 20.424 18.585 18.757 16.902 20.335 20.276 17.824 20.329 19.435 18.452 15.998 16.534 20.289 17.428 17.674
Magnetic moment in μB per cell, matching the order above: 0.0 0.0 1.8 0.4 0.0 0.0 0.0 0.4 0.0 3.4 0.0 0.0 0.0 0.0 0.0 0.0 0.0 0.0 1.1 0.0
DOS at the Fermi energy in states/eV per cell, matching the order above: 12.05 3.55 9.40 5.92 2.84 7.21 3.99 6.04 4.33 8.75 13.45 2.17 6.69 4.34 3.65 13.27 3.52 7.14 5.29 4.05